Er3NiSb PBE relaxed; D(E_F) = 12.79 states/eV/cell; DFT total energy = -105.1 eV/cell; SG = C2/c (15); energy relative to the elements, uncorrected = -0.5345 eV per atom
1.0
6.499 -0.211 -0.225
-0.961 9.015 -0.279
-0.961 -0.857 8.979
Er Ni Sb
12 4 4
direct
0.634 0.219 0.038
0.866 0.962 0.781
0.366 0.781 0.962
0.134 0.038 0.219
0.870 0.685 0.060
0.630 0.940 0.315
0.130 0.315 0.940
0.370 0.060 0.685
0.490 0.526 0.272
0.010 0.728 0.474
0.510 0.474 0.728
0.990 0.272 0.526
0.250 0.048 0.952
0.750 0.952 0.048
0.250 0.751 0.249
0.750 0.249 0.751
0.999 0.442 0.251
0.501 0.749 0.558
0.001 0.558 0.749
0.499 0.251 0.442